(1)
GGA-PBE TmScMo, relaxed; VASP energy = -0.5158 Ry/atom; ΔE_f = 0.193 eV/atom; total moment = 0.00 Bohr magnetons per cell; D(E_F) = 1.494 states/eV per atom; space group = I4mm
1.0
3.431 0.000 0.000
0.000 3.431 0.000
-1.716 -1.716 5.750
Sc Mo Tm
1 1 1
Cartesian
0.000 0.000 3.468
1.716 1.716 2.011
0.000 0.000 0.270


(2)
GGA-PBE HfUTe2N, relaxed; VASP energy = -0.6020 Ry/atom; total moment = 2.94 Bohr magnetons per cell; D(E_F) = 1.233 states/eV per atom; space group = P4/nmm; energy relative to the elements, uncorrected = -1021 meV per atom
1.0
3.865 0.000 0.000
0.000 3.865 0.000
0.000 0.000 14.689
Hf U Te N
2 2 4 2
Cartesian
1.932 0.000 0.975
0.000 1.932 13.713
1.932 0.000 8.505
0.000 1.932 6.183
0.000 1.932 10.287
0.000 1.932 2.015
1.932 0.000 12.674
1.932 0.000 4.402
0.000 0.000 7.344
1.932 1.932 7.344


(3)
GGA-PBE RbTlSbPd2, relaxed; VASP energy = -0.2820 Ry/atom; total moment = 0.00 Bohr magnetons per cell; D(E_F) = 0.161 states/eV per atom; space group = P2_1/m; energy relative to the elements, uncorrected = -269 meV per atom
1.0
-2.905 -1.250 3.542
1.516 -7.775 -1.501
5.916 3.289 6.014
Rb Tl Sb Pd
2 2 2 4
Cartesian
1.933 -6.903 0.741
2.594 1.166 7.314
3.276 -0.620 4.060
1.251 -5.117 3.994
0.557 -2.654 1.111
3.971 -3.083 6.943
1.934 -2.723 5.399
2.594 -3.014 2.655
-1.031 -4.345 2.395
5.559 -1.392 5.659


(4)
GGA-PBE Ce3ZnGe6Rh2, relaxed; VASP energy = -0.4021 Ry/atom; ΔE_f = -0.348 eV/atom; total moment = 0.71 Bohr magnetons per cell; D(E_F) = 1.075 states/eV per atom; space group = P-3m1
1.0
6.153 0.000 0.000
-3.077 5.329 0.000
0.000 0.000 7.518
Ce Zn Ge Rh
3 1 6 2
Cartesian
0.000 3.552 5.068
3.077 1.776 2.450
0.000 0.000 0.000
0.000 0.000 3.759
1.303 4.305 2.168
0.000 2.048 2.168
-1.303 4.305 2.168
3.077 3.281 5.350
1.774 1.024 5.350
4.379 1.024 5.350
3.077 1.776 7.518
0.000 3.552 0.000